[1]
First-principles (PBE-GGA) data for crystalline BaReRh3 at its relaxed geometry, as listed in Alexandria.

Lattice parameters (Å, degrees): 4.9756 4.9756 4.9756 90.00 90.00 90.00
With the nearest neighbours (Å) after each atom.
Positions (direct):
Re (0.5000, 0.5000, 0.5000)  12 Rh 3.52
Ba (0.0000, 0.0000, 0.0000)  6 Rh 2.49
Rh (0.0000, 0.5000, 0.0000)  2 Ba 2.49
Rh (0.0000, 0.0000, 0.5000)  2 Ba 2.49
Rh (0.5000, 0.0000, 0.0000)  2 Ba 2.49

Summary:
- VASP energy: -23.62 eV for the cell shown
- Formation energy: 2561 meV/atom
- Volume: 123 Å³/cell

***

[2]
First-principles (PBE-GGA) data for crystalline DySnAs2Rh5 at its relaxed geometry, as listed in Alexandria.

Lattice parameters (Å, degrees): 4.1374 4.1374 8.8227 90.00 90.00 90.00
With the nearest neighbours (Å) after each atom.
Positions (direct):
Dy (0.0000, 0.0000, 0.0000)  8 As 3.18, 8 Rh 3.21
Sn (0.0000, 0.0000, 0.5000)  12 Rh 2.85-2.93
Rh (0.0000, 0.5000, 0.2785)  2 As 2.39
Rh (0.5000, 0.0000, 0.2785)  2 As 2.39
Rh (0.5000, 0.5000, 0.5000)  8 Rh 2.85, 4 Sn 2.93, 2 As 3.16
Rh (0.0000, 0.5000, 0.7215)  2 As 2.39
Rh (0.5000, 0.0000, 0.7215)  2 As 2.39
As (0.5000, 0.5000, 0.8581)  4 Rh 2.39, 1 As 2.50
As (0.5000, 0.5000, 0.1419)  4 Rh 2.39, 1 As 2.50

Summary:
- VASP energy: -60.64 eV for the cell shown
- Formation energy: -664 meV/atom
- Volume: 151 Å³/cell

***

We obtain Fermi-level density of states values of 4.44, 5.85 states/eV per cell for the records listed above, in that order.